(1)
Below is an optimized crystal structure of GaSiTe, with properties calculated at the GGA-PBE level.

Cell and atoms, written as POSCAR:
```
GaSiTe
1.0
-1.425 -3.527 -2.339
3.990 -4.363 0.164
-1.294 -3.262 5.476
Si Te Ga
2 2 2
Direct
0.261 0.129 0.173 Si
0.388 0.410 0.876 Si
0.090 0.547 0.495 Te
0.440 0.834 0.903 Te
0.842 0.181 0.694 Ga
0.779 0.061 0.363 Ga
```

V in Å³/cell: 154.7
Formation energy without anion corrections in eV/f.u.: 0.16
DOS(E_F) in states/eV/cell: 0.052
Space group: P1 (1)
M_tot in μB/atom: 0.000

=====

(2)
Below is an optimized crystal structure of GaSiTe4, with properties calculated at the GGA-PBE level.

Cell and atoms, written as POSCAR:
```
GaSiTe4
1.0
6.023 0.000 0.000
0.000 6.023 0.000
-3.011 -3.011 5.418
Ga Si Te
1 1 4
Direct
0.750 0.250 0.500 Ga
0.500 0.500 0.000 Si
0.353 0.858 0.251 Te
0.897 0.393 0.251 Te
0.142 0.103 0.749 Te
0.607 0.647 0.749 Te
```

V in Å³/cell: 196.5
Formation energy without anion corrections in eV/f.u.: -0.50
DOS(E_F) in states/eV/cell: 5.654
Space group: I-4 (82)
M_tot in μB/atom: 0.000

=====

(3)
Below is an optimized crystal structure of Ga2SiTe2, with properties calculated at the GGA-PBE level.

Cell and atoms, written as POSCAR:
```
Ga2SiTe2
1.0
5.658 0.000 0.000
0.000 5.658 0.000
2.829 2.829 3.903
Si Te Ga
1 2 2
Direct
0.000 0.000 0.000 Si
0.750 0.250 0.500 Te
0.250 0.750 0.500 Te
0.335 0.335 0.330 Ga
0.665 0.665 0.670 Ga
```

V in Å³/cell: 124.9
Formation energy without anion corrections in eV/f.u.: 1.16
DOS(E_F) in states/eV/cell: 2.859
Excess energy over the best structure of this formula in the dataset in kcal/mol of atoms: 0.00
Space group: I4/mmm (139)
M_tot in μB/atom: 0.000

=====

The records above give, respectively, mass density values of 4.8; 5.1; 5.6 g/cm3.